1.
! RbSmTl2 (PBE, relaxed); values from VASP
&SYSTEM
  ibrav = 0, nat = 4, ntyp = 3
/
ATOMIC_SPECIES
Rb 85.47 Rb.upf
Sm 150.36 Sm.upf
Tl 204.38 Tl.upf
CELL_PARAMETERS angstrom
1.9462 1.1236 11.0290
-1.9462 1.1236 11.0290
0.0000 -2.2473 11.0290
ATOMIC_POSITIONS angstrom
Rb 0.0000 0.0000 0.0000
Sm 0.0000 0.0000 16.5435
Tl 0.0000 0.0000 7.9694
Tl 0.0000 0.0000 25.1176
! total moment	0.00	μB per cell
! D(E_F)	4.3	states/eV/cell
! space-group type	R-3m
! ΔE to the lowest computed polymorph	159.0	meV per atom
! formation energy from the elements	-0.030	eV per atom



2.
! MgTlHg (PBE, relaxed); values from VASP
&SYSTEM
  ibrav = 0, nat = 3, ntyp = 3
/
ATOMIC_SPECIES
Mg 24.30 Mg.upf
Tl 204.38 Tl.upf
Hg 200.59 Hg.upf
CELL_PARAMETERS angstrom
-1.7877 1.7877 5.8397
1.7877 -1.7877 5.8397
1.7877 1.7877 -5.8397
ATOMIC_POSITIONS angstrom
Mg 0.0000 0.0000 0.0000
Tl 0.0000 0.0000 3.7681
Hg 0.0000 0.0000 7.4342
! total moment	0.00	μB per cell
! D(E_F)	1.2	states/eV/cell
! space-group type	I4mm
! ΔE to the lowest computed polymorph	0.0	meV per atom
! formation energy from the elements	-0.069	eV per atom



3.
! Ba2Mg2Au (PBE, relaxed); values from VASP
&SYSTEM
  ibrav = 0, nat = 10, ntyp = 3
/
ATOMIC_SPECIES
Ba 137.33 Ba.upf
Mg 24.30 Mg.upf
Au 196.97 Au.upf
CELL_PARAMETERS angstrom
7.4894 0.0000 0.0000
0.0000 7.4894 0.0000
0.0000 0.0000 5.8742
ATOMIC_POSITIONS angstrom
Ba 1.3303 2.4144 0.0000
Ba 2.4144 6.1591 0.0000
Ba 5.0750 1.3303 0.0000
Ba 6.1591 5.0750 0.0000
Mg 1.1029 4.8476 2.9371
Mg 2.6418 1.1029 2.9371
Mg 4.8476 6.3865 2.9371
Mg 6.3865 2.6418 2.9371
Au 0.0000 0.0000 2.9371
Au 3.7447 3.7447 2.9371
! total moment	0.00	μB per cell
! D(E_F)	9.9	states/eV/cell
! space-group type	P4/mbm
! ΔE to the lowest computed polymorph	159.7	meV per atom
! formation energy from the elements	-0.153	eV per atom



4.
! CeMn2I8 (PBE, relaxed); values from VASP
&SYSTEM
  ibrav = 0, nat = 11, ntyp = 3
/
ATOMIC_SPECIES
Ce 140.12 Ce.upf
Mn 54.94 Mn.upf
I 126.90 I.upf
CELL_PARAMETERS angstrom
6.0588 -6.1648 0.0000
6.0588 6.1648 0.0000
-4.0998 0.0000 7.6802
ATOMIC_POSITIONS angstrom
Ce 0.0000 0.0000 0.0000
Mn 2.6129 0.0000 2.7847
Mn 5.4050 0.0000 4.8956
I 1.3045 2.1490 1.8428
I -1.6612 0.0000 6.0334
I 1.3045 -2.1490 1.8428
I 2.7531 0.0000 5.4961
I 5.2648 0.0000 2.1841
I 6.7134 2.1490 5.8374
I 9.6791 0.0000 1.6469
I 6.7134 -2.1490 5.8374
! total moment	10.08	μB per cell
! space-group type	C2/m
! E_form (uncorrected)	-742.8	meV per atom